The following is a PBE calculation of a relaxed structure of BaHfS3, from the Alexandria database.

Computed properties:
For the formation energy (no corrections), the calculation gives -1.7955 eV per atom. For the density, the calculation gives 5.40 Mg/m³. Its energy is -66.47 eV/cell.

a b c (Å): 4.981 6.942 8.103
angles (deg): 115.36 90.00 90.00
Positions (direct):
Ba 0.000 0.650 0.301
Ba 0.000 0.350 0.699
Hf 0.500 0.121 0.243
Hf 0.500 0.879 0.757
S 0.500 0.259 0.000
S 0.000 0.867 0.735
S 0.500 0.741 0.000
S 0.500 0.500 0.500
S 0.000 0.133 0.265
S 0.500 0.000 0.500

---

The following is a PBE calculation of a relaxed structure of Li3BiPd, from the Alexandria database.

Computed properties:
Its polymorph energy (0 for the lowest one) is 0 meV/atom. Its formation energy is -2.34 eV/f.u. For the density, the calculation gives 6.35 Mg/m³. Its energy is -34.32 eV/cell. Its density of states at the Fermi level is 1.164 states/eV/f.u.

a b c (Å): 4.726 7.946 5.025
angles (deg): 111.16 90.00 90.00
Positions (direct):
Li 0.624 0.814 0.544
Li 0.624 0.066 0.127
Li 0.124 0.462 0.680
Li 0.124 0.284 0.104
Li 0.124 0.032 0.520
Li 0.624 0.637 0.967
Bi 0.624 0.259 0.729
Bi 0.124 0.840 0.918
Pd 0.624 0.439 0.337
Pd 0.124 0.660 0.310

---

The following is a PBE calculation of a relaxed structure of GdAlSi, from the Alexandria database.

Computed properties:
For the formation energy (no corrections), the calculation gives -0.6245 eV per atom. For the density, the calculation gives 5.68 Mg/m³. Its energy is -50.24 eV/cell. Its density of states at the Fermi level is 0.059 states/eV/f.u.

a b c (Å): 4.144 4.143 7.806
angles (deg): 105.38 105.38 89.99
Site moments in Bohr magnetons follow the coordinates.
Positions (direct):
Si 0.417 0.417 0.834  -0.03
Si 0.167 0.667 0.334  -0.03
Gd 0.999 0.999 0.998  6.98
Gd 0.749 0.249 0.498  6.98
Al 0.582 0.582 0.165  -0.01
Al 0.332 0.833 0.665  -0.01

---

The following is a PBE calculation of a relaxed structure of NaPuHgTe, from the Alexandria database.

Computed properties:
For the formation energy (no corrections), the calculation gives -0.4609 eV per atom. For the density, the calculation gives 9.01 Mg/m³. Its energy is -20.94 eV/cell. Its density of states at the Fermi level is 12.054 states/eV/f.u.

a b c (Å): 5.374 5.374 5.374
angles (deg): 60.00 60.00 60.00
Site moments in Bohr magnetons follow the coordinates.
Positions (direct):
Na 0.250 0.250 0.250  0.02
Te 0.500 0.500 0.500  -0.03
Hg 0.000 0.000 0.000  0.09
Pu 0.750 0.750 0.750  5.76

---

The following is a PBE calculation of a relaxed structure of FeTcH, from the Alexandria database.

Computed properties:
Its polymorph energy (0 for the lowest one) is 234 meV/atom. For the density, the calculation gives 8.56 Mg/m³. Its energy is -21.19 eV/cell. Its density of states at the Fermi level is 2.035 states/eV/f.u.

a b c (Å): 2.781 2.781 4.353
angles (deg): 108.63 108.63 90.00
Positions (direct):
H 0.880 0.880 0.760
Tc 0.333 0.333 0.665
Fe 0.637 0.637 0.275

---

The following is a PBE calculation of a relaxed structure of FeCo, from the Alexandria database.

Computed properties:
Its formation energy is -0.03 eV/f.u. For the density, the calculation gives 8.32 Mg/m³. Its energy is -62.39 eV/cell. Its density of states at the Fermi level is 1.765 states/eV/f.u.

a b c (Å): 5.705 4.014 4.000
angles (deg): 90.02 90.00 90.00
Site moments in Bohr magnetons follow the coordinates.
Positions (direct):
Fe 0.753 0.500 0.000  2.71
Fe 0.248 0.000 0.500  2.71
Fe 0.496 0.500 0.500  2.54
Fe 0.750 0.000 0.500  2.75
Co 0.000 0.000 0.000  1.75
Co 0.254 0.500 0.000  1.80
Co 0.502 0.000 0.000  1.77
Co 0.997 0.500 0.500  1.76

---

The following is a PBE calculation of a relaxed structure of CsSiHgO2, from the Alexandria database.

Computed properties:
For the formation energy (no corrections), the calculation gives -0.0341 eV per atom. For the density, the calculation gives 6.01 Mg/m³. Its energy is -16.67 eV/cell. Its density of states at the Fermi level is 2.517 states/eV/f.u.

a b c (Å): 4.170 6.253 4.170
angles (deg): 90.00 90.00 90.00
Positions (direct):
Cs 0.000 0.500 0.000
Si 0.000 0.000 0.000
Hg 0.500 0.500 0.500
O 0.000 0.000 0.500
O 0.500 0.000 0.000

---

The following is a PBE calculation of a relaxed structure of Ca2ErIn3, from the Alexandria database.

Computed properties:
Its polymorph energy (0 for the lowest one) is 0 meV/atom. Its formation energy is -2.75 eV/f.u. For the density, the calculation gives 5.93 Mg/m³. Its energy is -19.53 eV/cell. Its density of states at the Fermi level is 4.106 states/eV/f.u.

a b c (Å): 3.814 3.814 11.394
angles (deg): 90.00 90.00 90.00
Positions (direct):
Ca 0.500 0.500 0.832
Ca 0.500 0.500 0.168
Er 0.500 0.500 0.500
In 0.000 0.000 0.000
In 0.000 0.000 0.658
In 0.000 0.000 0.342

---

The following is a PBE calculation of a relaxed structure of Sc6ZnIn3, from the Alexandria database.

Computed properties:
Its formation energy is -3.44 eV/f.u. For the density, the calculation gives 5.08 Mg/m³. Its energy is -101.84 eV/cell. Its density of states at the Fermi level is 11.408 states/eV/f.u.

a b c (Å): 4.990 8.632 10.881
angles (deg): 108.55 90.00 90.00
Site moments in Bohr magnetons follow the coordinates.
Positions (direct):
Sc 0.250 0.457 0.081  0.08
Sc 0.750 0.543 0.919  0.08
Sc 0.250 0.140 0.170  0.15
Sc 0.750 0.860 0.830  0.15
Sc 0.250 0.677 0.675  0.04
Sc 0.750 0.323 0.325  0.04
Sc 0.250 0.231 0.490  0.01
Sc 0.750 0.769 0.510  0.01
Sc 0.250 0.853 0.309  0.04
Sc 0.750 0.147 0.691  0.04
Sc 0.250 0.088 0.870  0.10
Sc 0.750 0.912 0.130  0.10
Zn 0.250 0.961 0.596  0.00
Zn 0.750 0.039 0.404  0.00
In 0.250 0.529 0.382  0.00
In 0.750 0.471 0.618  0.00
In 0.250 0.376 0.780  0.00
In 0.750 0.624 0.220  0.00
In 0.250 0.779 0.976  -0.01
In 0.750 0.221 0.024  -0.01

---

The following is a PBE calculation of a relaxed structure of KLi2PaSe4, from the Alexandria database.

Computed properties:
For the formation energy (no corrections), the calculation gives -1.1542 eV per atom. For the density, the calculation gives 4.44 Mg/m³. Its energy is -37.59 eV/cell.

a b c (Å): 7.270 6.666 6.666
angles (deg): 66.11 56.95 56.95
Positions (direct):
K 0.000 0.000 0.000
Li 0.250 0.250 0.250
Li 0.750 0.750 0.750
Pa 0.500 0.500 0.500
Se 0.463 0.107 0.537
Se 0.107 0.893 0.463
Se 0.893 0.537 0.107
Se 0.537 0.463 0.893

---

The following is a PBE calculation of a relaxed structure of Pm2Sm6Tm3, from the Alexandria database.

Computed properties:
Its polymorph energy (0 for the lowest one) is 0 meV/atom. Its formation energy is 3.16 eV/f.u. For the density, the calculation gives 7.38 Mg/m³. Its energy is -48.07 eV/cell. Its density of states at the Fermi level is 15.128 states/eV/f.u.

a b c (Å): 4.769 4.769 17.143
angles (deg): 98.00 98.00 90.00
Positions (direct):
Pm 0.454 0.454 0.909
Pm 0.546 0.546 0.091
Sm 0.122 0.622 0.244
Sm 0.622 0.122 0.244
Sm 0.878 0.378 0.756
Sm 0.378 0.878 0.756
Sm 0.699 0.699 0.398
Sm 0.301 0.301 0.602
Tm 0.000 0.000 0.000
Tm 0.801 0.801 0.602
Tm 0.199 0.199 0.398

---

The following is a PBE calculation of a relaxed structure of Zn3AgIr2, from the Alexandria database.

Computed properties:
Its formation energy is -0.83 eV/f.u. For the density, the calculation gives 13.09 Mg/m³. Its energy is -25.22 eV/cell. Its density of states at the Fermi level is 1.126 states/eV/f.u.

a b c (Å): 3.092 4.317 6.890
angles (deg): 108.26 90.00 90.00
Positions (direct):
Zn 0.500 0.500 0.000
Zn 0.500 0.823 0.647
Zn 0.500 0.177 0.353
Ag 0.000 0.000 0.000
Ir 0.000 0.340 0.680
Ir 0.000 0.660 0.320